No. 1
NaTa2InO6 | GGA-PBE | optimized geometry

abc: 7.3388 7.3388 5.7467
angles: 97.69 97.69 64.41
Closest atoms and distances in Å follow each position.
Sites, in units of the cell vectors:
O: 0.6212 0.9639 0.3414  1 Ta 1.93
Ta: 0.3419 0.1585 0.3164  4 O 1.84-2.00
O: 0.7807 0.0085 0.8102  1 Ta 1.84
O: 0.0361 0.3788 0.1586  1 Ta 1.93
Ta: 0.6581 0.8415 0.6836  4 O 1.84-2.00
In: 0.8554 0.1446 0.2500  6 O 2.46-2.72
Na: 0.6439 0.3561 0.7500  4 O 2.36-2.63
O: 0.2840 0.3915 0.5640  2 Ta 1.97-2.00
Na: 0.3561 0.6439 0.2500  4 O 2.36-2.63
O: 0.9915 0.2193 0.6898  1 Ta 1.84
O: 0.6085 0.7160 0.9360  2 Ta 1.97-2.00
Ta: 0.8415 0.6581 0.1836  4 O 1.84-2.00
O: 0.3788 0.0361 0.6586  1 Ta 1.93
O: 0.2193 0.9915 0.1898  1 Ta 1.84
In: 0.1446 0.8554 0.7500  6 O 2.46-2.72
O: 0.3915 0.2840 0.0640  2 Ta 1.97-2.00
O: 0.0085 0.7807 0.3102  1 Ta 1.84
O: 0.7160 0.6085 0.4360  2 Ta 1.97-2.00
O: 0.9639 0.6212 0.8414  1 Ta 1.93
Ta: 0.1585 0.3419 0.8164  4 O 1.84-2.00

Properties
For the volume, the calculation gives 13.8 Å³ per atom. The total DFT energy (no corrections) is -0.588 Ry per atom.

No. 2
Be2CdGe | GGA-PBE | optimized geometry

abc: 4.4626 4.4626 4.4626
angles: 60.00 60.00 60.00
Closest atoms and distances in Å follow each position.
Sites, in units of the cell vectors:
Ge: 0.5000 0.5000 0.5000  4 Be 2.73, 4 Cd 2.73
Cd: 0.2500 0.2500 0.2500  4 Ge 2.73, 4 Be 2.73
Be: 0.7500 0.7500 0.7500  4 Be 2.73, 4 Ge 2.73
Be: 0.0000 0.0000 0.0000  4 Be 2.73, 4 Cd 2.73

Properties
For the volume, the calculation gives 15.7 Å³ per atom. The total DFT energy (no corrections) is -0.185 Ry per atom.

No. 3
Al2FeCu5 | GGA-PBE | optimized geometry

abc: 7.2158 7.2158 7.2158
angles: 133.76 133.76 67.47
Closest atoms and distances in Å follow each position.
Sites, in units of the cell vectors:
Cu: 0.8750 0.8766 0.5016  4 Al 2.48-2.52, 2 Cu 2.50, 2 Fe 2.51
Cu: 0.8750 0.3734 0.9984  4 Al 2.48-2.52, 2 Cu 2.50, 2 Fe 2.51
Cu: 0.2500 0.2500 0.0000  8 Cu 2.50
Al: 0.7535 0.2535 0.5000  8 Cu 2.48-2.52
Fe: 0.7500 0.7500 0.0000  8 Cu 2.51
Al: 0.5035 0.5035 0.0000  8 Cu 2.48-2.52
Al: 0.2465 0.7465 0.5000  8 Cu 2.48-2.52
Fe: 0.0000 0.5000 0.5000  8 Cu 2.51
Al: 0.9965 0.9965 0.0000  8 Cu 2.48-2.52
Cu: 0.1266 0.1250 0.5016  4 Al 2.48-2.52, 2 Cu 2.50, 2 Fe 2.51
Cu: 0.3750 0.8766 0.0016  4 Al 2.48-2.52, 2 Cu 2.50, 2 Fe 2.51
Cu: 0.6234 0.1250 0.9984  4 Al 2.48-2.52, 2 Cu 2.50, 2 Fe 2.51
Cu: 0.6234 0.6250 0.4984  4 Al 2.48-2.52, 2 Cu 2.50, 2 Fe 2.51
Cu: 0.3750 0.3734 0.4984  4 Al 2.48-2.52, 2 Cu 2.50, 2 Fe 2.51
Cu: 0.5000 0.0000 0.5000  8 Cu 2.50
Cu: 0.1266 0.6250 0.0016  4 Al 2.48-2.52, 2 Cu 2.50, 2 Fe 2.51

Properties
For the energy above the most stable polymorph in this dataset, the calculation gives 0.018 eV per atom. For the volume, the calculation gives 12.0 Å³ per atom.

No. 4
LaMg2GaAu | GGA-PBE | optimized geometry

abc: 6.7370 6.7370 6.7370
angles: 141.76 141.76 55.20
Closest atoms and distances in Å follow each position.
Sites, in units of the cell vectors:
La: 0.9921 0.9921 0.0000  4 Ga 3.33, 4 Au 3.43, 4 Mg 3.63
Mg: 0.2504 0.7504 0.5000  2 Au 2.76, 2 Ga 2.81
Au: 0.6118 0.6118 0.0000  1 Ga 2.58, 4 Mg 2.76
Mg: 0.7504 0.2504 0.5000  2 Au 2.76, 2 Ga 2.81
Ga: 0.3954 0.3954 0.0000  1 Au 2.58, 4 Mg 2.81

Properties
For the volume, the calculation gives 23.3 Å³ per atom. The total DFT energy (no corrections) is -0.251 Ry per atom.

No. 5
ScBiOs2 | GGA-PBE | optimized geometry

abc: 4.6820 4.6820 4.6820
angles: 60.00 60.00 60.00
Closest atoms and distances in Å follow each position.
Sites, in units of the cell vectors:
Os: 0.0000 0.0000 0.0000  4 Os 2.87, 4 Sc 2.87
Sc: 0.2500 0.2500 0.2500  4 Bi 2.87, 4 Os 2.87
Bi: 0.5000 0.5000 0.5000  4 Os 2.87, 4 Sc 2.87
Os: 0.7500 0.7500 0.7500  4 Bi 2.87, 4 Os 2.87

Properties
For the volume, the calculation gives 18.1 Å³ per atom. The total DFT energy (no corrections) is -0.564 Ry per atom.

No. 6
ZnFeHgOs | GGA-PBE | optimized geometry

abc: 4.4298 4.4298 4.4298
angles: 60.00 60.00 60.00
Closest atoms and distances in Å follow each position.
Sites, in units of the cell vectors:
Zn: 0.0000 0.0000 0.0000  4 Os 2.71, 4 Fe 2.71
Hg: 0.5000 0.5000 0.5000  4 Os 2.71, 4 Fe 2.71
Fe: 0.7500 0.7500 0.7500  4 Hg 2.71, 4 Zn 2.71
Os: 0.2500 0.2500 0.2500  4 Hg 2.71, 4 Zn 2.71

Properties
For the energy above the most stable polymorph in this dataset, the calculation gives 0.026 eV per atom. For the volume, the calculation gives 15.4 Å³ per atom. The value obtained for the formation energy is 637 meV/atom.

No. 7
MgCoNiAs | GGA-PBE | optimized geometry

abc: 4.2150 4.2150 4.2150
angles: 60.00 60.00 60.00
Closest atoms and distances in Å follow each position.
Sites, in units of the cell vectors:
Mg: 0.0000 0.0000 0.0000  4 As 2.58, 4 Ni 2.58
As: 0.2500 0.2500 0.2500  4 Co 2.58, 4 Mg 2.58
Ni: 0.7500 0.7500 0.7500  4 Co 2.58, 4 Mg 2.58
Co: 0.5000 0.5000 0.5000  4 Ni 2.58, 4 As 2.58

Properties
For the energy above the most stable polymorph in this dataset, the calculation gives 0.140 eV per atom. For the volume, the calculation gives 13.2 Å³ per atom.

No. 8
Gd4SiNi3 | GGA-PBE | optimized geometry

abc: 5.6144 4.1051 7.3296
angles: 90.00 90.07 90.00
Closest atoms and distances in Å follow each position.
Sites, in units of the cell vectors:
Gd: 0.3767 0.5000 0.8275  5 Ni 2.94-2.99, 2 Si 2.96
Gd: 0.8733 0.0000 0.6766  5 Ni 2.94-2.95, 2 Si 2.96-3.02
Ni: 0.8759 0.5000 0.9652  2 Ni 2.50
Si: 0.3791 0.0000 0.5365  2 Ni 2.49
Ni: 0.6133 0.5000 0.4684  2 Si 2.49
Ni: 0.1159 0.0000 0.0322  2 Ni 2.50
Gd: 0.1303 0.5000 0.3109  5 Ni 2.90-3.13, 2 Si 2.98
Gd: 0.6354 0.0000 0.1826  6 Ni 2.92-3.12, 1 Si 2.97

Properties
For the volume, the calculation gives 21.1 Å³ per atom. The total DFT energy (no corrections) is -0.412 Ry per atom.